Material: ScGaFeCu
Method: DFT, GGA-PBE
State: relaxed

As for the volume: 240.07 Å³/cell. The polymorph energy (0 for the lowest one) comes out at 154.1 meV/atom.

It has space group F-43m (No. 216), with a = 6.215 Å, b = 6.215 Å, c = 6.215 Å, α = 90.00°, β = 90.00° and γ = 90.00°. The asymmetric unit holds Sc at (0.000, 0.000, 0.000), Ga at (0.250, 0.250, 0.250), Fe at (0.250, 0.250, 0.750) and Cu at (0.000, 0.000, 0.500).